[1]
This record from Alexandria via LeMat-Bulk describes crystalline LiFe2PdC at its relaxed geometry. The functional is PBE-GGA.

**N(E_F)**: 3.759 states/eV/f.u.
**E_tot**: -32.91 eV per cell
**Space group**: No. 123

a b c (Å): 3.7124 3.7124 4.1724
angles (deg): 90.00 90.00 90.00
Each line ends with the local moment (μB).
Atoms (fractional coordinates):
Li: 0.0000 0.0000 0.5000  -0.03
Fe: 0.0000 0.5000 0.0000  1.86
Fe: 0.5000 0.0000 0.0000  1.86
C: 0.0000 0.0000 0.0000  -0.15
Pd: 0.5000 0.5000 0.5000  0.28


[2]
This record from Alexandria via LeMat-Bulk describes crystalline LiPm2FeC at its relaxed geometry. The functional is PBE-GGA.

**N(E_F)**: 3.496 states/eV/f.u.
**E_tot**: -29.56 eV per cell
**Space group**: No. 123

a b c (Å): 3.6938 5.1781 5.1781
angles (deg): 90.00 90.00 90.00
Atoms (fractional coordinates):
Pm: 0.0000 0.0000 0.5000
Pm: 0.0000 0.5000 0.0000
Fe: 0.5000 0.0000 0.0000
C: 0.0000 0.0000 0.0000
Li: 0.5000 0.5000 0.5000


[3]
This record from Alexandria via LeMat-Bulk describes crystalline LiPrFeC at its relaxed geometry. The functional is PBE-GGA.

**N(E_F)**: 2.567 states/eV/f.u.
**E_tot**: -49.18 eV per cell
**Space group**: No. 129

a b c (Å): 3.4814 3.4814 11.0113
angles (deg): 90.00 90.00 90.00
Atoms (fractional coordinates):
Fe: 0.2500 0.7500 0.0000
Fe: 0.7500 0.2500 0.0000
C: 0.7500 0.7500 0.9162
C: 0.2500 0.2500 0.0838
Pr: 0.2500 0.2500 0.7802
Pr: 0.7500 0.7500 0.2198
Li: 0.7500 0.2500 0.5000
Li: 0.2500 0.7500 0.5000


[4]
This record from Alexandria via LeMat-Bulk describes crystalline Li2FeReC at its relaxed geometry. The functional is PBE-GGA.

**N(E_F)**: 6.289 states/eV/f.u.
**E_tot**: -30.84 eV per cell
**Space group**: No. 123

a b c (Å): 3.7503 4.0414 3.7503
angles (deg): 90.00 90.00 90.00
Atoms (fractional coordinates):
Li: 0.0000 0.0000 0.5000
Li: 0.5000 0.0000 0.0000
Re: 0.0000 0.5000 0.0000
C: 0.0000 0.0000 0.0000
Fe: 0.5000 0.5000 0.5000


[5]
This record from Alexandria via LeMat-Bulk describes crystalline LiFe2RhC at its relaxed geometry. The functional is PBE-GGA.

**N(E_F)**: 2.595 states/eV/f.u.
**E_tot**: -35.26 eV per cell
**Space group**: No. 123

a b c (Å): 3.7876 3.7876 4.0603
angles (deg): 90.00 90.00 90.00
Each line ends with the local moment (μB).
Atoms (fractional coordinates):
C: 0.0000 0.0000 0.0000  -0.12
Rh: 0.0000 0.0000 0.5000  0.18
Fe: 0.0000 0.5000 0.0000  2.01
Fe: 0.5000 0.0000 0.0000  2.01
Li: 0.5000 0.5000 0.5000  -0.04


[6]
This record from Alexandria via LeMat-Bulk describes crystalline LiFeRhC at its relaxed geometry. The functional is PBE-GGA.

**N(E_F)**: 3.883 states/eV/f.u.
**E_tot**: -24.38 eV per cell
**Space group**: No. 216

a b c (Å): 3.7668 3.7668 3.7668
angles (deg): 60.00 60.00 60.00
Each line ends with the local moment (μB).
Atoms (fractional coordinates):
Li: 0.2500 0.2500 0.2500  -0.01
Fe: 0.5000 0.5000 0.5000  1.39
Rh: 0.0000 0.0000 0.0000  0.03
C: 0.7500 0.7500 0.7500  -0.08


[7]
This record from Alexandria via LeMat-Bulk describes crystalline LiFeCS2 at its relaxed geometry. The functional is PBE-GGA.

**N(E_F)**: 4.125 states/eV/f.u.
**Space group**: No. 123
**Formation energy from raw total energies**: 629 kJ/mol of formula units

a b c (Å): 4.2093 4.9295 4.2093
angles (deg): 90.00 90.00 90.00
Each line ends with the local moment (μB).
Atoms (fractional coordinates):
Li: 0.0000 0.5000 0.0000  0.00
S: 0.0000 0.0000 0.5000  -0.05
S: 0.5000 0.0000 0.0000  -0.08
C: 0.5000 0.5000 0.5000  0.90
Fe: 0.0000 0.0000 0.0000  0.52


[8]
This record from Alexandria via LeMat-Bulk describes crystalline LiFe2SbC at its relaxed geometry. The functional is PBE-GGA.

**N(E_F)**: 2.640 states/eV/f.u.
**Space group**: No. 123
**Formation energy from raw total energies**: 42 kJ/mol of formula units

a b c (Å): 3.8113 3.8113 3.9824
angles (deg): 90.00 90.00 90.00
Atoms (fractional coordinates):
Fe: 0.0000 0.5000 0.0000
Fe: 0.5000 0.0000 0.0000
Li: 0.0000 0.0000 0.5000
C: 0.0000 0.0000 0.0000
Sb: 0.5000 0.5000 0.5000